# Na2CoO3

An optimized crystal structure of Na2CoO3 (PBE with a Hubbard U, the Alexandria database).

## Properties
E_tot in eV/atom: -4.682
Polymorph energy (0 for the lowest one) in meV per atom: 278.4

Cell lengths 6.0130, 11.4085, 10.8077 Å; angles 90.00, 96.21, 90.00 degrees
Space group C2/c (No. 15)
One atom of each set of equivalent atoms:
1 Na 0.1468 0.1276 0.4786 [8 per cell]
2 Na 0.2012 0.1081 0.8204 [8 per cell]
3 Co 0.1910 0.3780 0.8263 [8 per cell]
4 O 0.0007 0.2838 0.9134 [8 per cell]
5 O 0.1364 0.0015 0.1351 [8 per cell]
6 O 0.2116 0.2774 0.6857 [8 per cell]